# PBE-GGA InRe2Ir, optimized geometry
data_InRe2Ir
_cell_length_a 3.8641
_cell_length_b 3.8641
_cell_length_c 8.5532
_cell_angle_alpha 90.00
_cell_angle_beta 90.00
_cell_angle_gamma 90.00
_symmetry_space_group_name_H-M 'I 4/m m m'
_symmetry_Int_Tables_number 139
_symmetry_space_group_name_Hall '-I 4 2'
loop_
_atom_site_label
_atom_site_type_symbol
_atom_site_fract_x
_atom_site_fract_y
_atom_site_fract_z
In1 In 0.0000 0.0000 0.0000
Re1 Re 0.0000 0.5000 0.2500
Ir1 Ir 0.0000 0.0000 0.5000
# Energy of formation ... 0.365 eV per atom
# Excess energy over the best structure of this formula in the dataset ... 0.941 eV per formula unit
# Magnetic moment ... 0.00 μB/cell